1.
Pm3TiAl2O9 | GGA-PBE | optimized geometry

Results
Final energy ... -0.595 Ry per atom
Space-group type ... No. 164
Theoretical density ... 6.8 g/cm3

a = 5.389 Å, b = 5.389 Å, c = 6.622 Å
α = 90.00°, β = 90.00°, γ = 120.00°
Element x y z (fractional)
1 O 0.659 0.829 0.327
2 O 0.000 0.500 0.000
3 O 0.341 0.171 0.673
4 O 0.829 0.171 0.673
5 O 0.829 0.659 0.673
6 O 0.171 0.341 0.327
7 O 0.171 0.829 0.327
8 O 0.500 0.500 0.000
9 O 0.500 0.000 0.000
10 Pm 0.667 0.333 0.328
11 Pm 0.333 0.667 0.672
12 Pm 0.000 0.000 0.000
13 Al 0.333 0.667 0.161
14 Al 0.667 0.333 0.839
15 Ti 0.000 0.000 0.500



2.
InCuSN2 | GGA-PBE | optimized geometry

Results
Final energy ... -0.286 Ry per atom
E above lowest polymorph ... 0.394 eV per atom
Space-group type ... No. 123
Theoretical density ... 4.2 g/cm3

a = 4.179 Å, b = 4.179 Å, c = 5.431 Å
α = 90.00°, β = 90.00°, γ = 90.00°
Element x y z (fractional)
1 In 0.000 0.000 0.000
2 N 0.500 0.000 0.000
3 N 0.000 0.500 0.000
4 Cu 0.500 0.500 0.500
5 S 0.000 0.000 0.500



3.
LiMg2InO | GGA-PBE | optimized geometry

Results
Final energy ... -0.262 Ry per atom
Space-group type ... No. 123
Theoretical density ... 3.8 g/cm3

a = 4.232 Å, b = 4.232 Å, c = 4.521 Å
α = 90.00°, β = 90.00°, γ = 90.00°
Element x y z (fractional)
1 O 0.000 0.000 0.000
2 Li 0.000 0.000 0.500
3 In 0.500 0.500 0.500
4 Mg 0.000 0.500 0.000
5 Mg 0.500 0.000 0.000



4.
PmSm6Ho4 | GGA-PBE | optimized geometry

Results
Final energy ... -0.315 Ry per atom
Formation energy ... 0.383 eV/atom
E above lowest polymorph ... 0.264 eV per atom
Space-group type ... No. 121
Theoretical density ... 7.4 g/cm3

a = 7.545 Å, b = 7.545 Å, c = 8.611 Å
α = 115.98°, β = 115.98°, γ = 90.00°
Element x y z (fractional)
1 Ho 0.083 0.757 0.840
2 Ho 0.757 0.083 0.840
3 Ho 0.917 0.917 0.160
4 Ho 0.243 0.243 0.160
5 Sm 0.500 0.000 0.000
6 Sm 0.000 0.500 0.000
7 Sm 0.457 0.918 0.375
8 Sm 0.082 0.082 0.625
9 Sm 0.543 0.543 0.625
10 Sm 0.918 0.457 0.375
11 Pm 0.500 0.500 0.000



5.
CsPuSb2 | GGA-PBE | optimized geometry

Results
Final energy ... -0.464 Ry per atom
E above lowest polymorph ... 0.000 eV per atom
Space-group type ... No. 123
Theoretical density ... 7.1 g/cm3

a = 4.205 Å, b = 4.205 Å, c = 8.168 Å
α = 90.00°, β = 90.00°, γ = 90.00°
Element x y z (fractional)
1 Cs 0.500 0.500 0.500
2 Sb 0.000 0.000 0.176
3 Sb 0.000 0.000 0.824
4 Pu 0.500 0.500 0.000



6.
Ca2TbPt9 | GGA-PBE | optimized geometry

Results
Final energy ... -0.446 Ry per atom
Formation energy ... -0.819 eV/atom
Space-group type ... No. 166
Theoretical density ... 14.7 g/cm3

a = 5.400 Å, b = 5.400 Å, c = 9.431 Å
α = 73.36°, β = 73.36°, γ = 60.00°
Element x y z (fractional)
1 Pt 0.586 0.081 0.748
2 Pt 0.414 0.919 0.252
3 Pt 0.500 0.500 0.500
4 Pt 0.586 0.586 0.748
5 Pt 0.414 0.414 0.252
6 Pt 0.919 0.414 0.252
7 Pt 0.081 0.586 0.748
8 Pt 0.333 0.333 0.001
9 Pt 0.667 0.667 0.999
10 Ca 0.142 0.142 0.575
11 Ca 0.858 0.858 0.425
12 Tb 0.000 0.000 0.000



7.
Cu4SnPd7 | GGA-PBE | optimized geometry

Results
Final energy ... -0.342 Ry per atom
Formation energy ... 0.073 eV/atom
E above lowest polymorph ... 0.261 eV per atom
Space-group type ... No. 12
Theoretical density ... 9.5 g/cm3

a = 4.873 Å, b = 8.291 Å, c = 5.628 Å
α = 80.75°, β = 64.35°, γ = 72.91°
Element x y z (fractional)
1 Pd 0.659 0.442 0.239
2 Pd 0.500 0.000 0.000
3 Pd 0.043 0.620 0.294
4 Pd 0.957 0.380 0.706
5 Pd 0.209 0.079 0.504
6 Pd 0.791 0.921 0.496
7 Pd 0.341 0.558 0.761
8 Cu 0.723 0.683 0.870
9 Cu 0.277 0.317 0.130
10 Cu 0.436 0.764 0.364
11 Cu 0.564 0.236 0.636
12 Sn 0.000 0.000 0.000



8.
SnAuN2O | GGA-PBE | optimized geometry

Results
Final energy ... -0.339 Ry per atom
Space-group type ... No. 123
Theoretical density ... 8.2 g/cm3

a = 4.257 Å, b = 4.257 Å, c = 4.043 Å
α = 90.00°, β = 90.00°, γ = 90.00°
Element x y z (fractional)
1 Au 0.500 0.500 0.500
2 N 0.500 0.000 0.000
3 N 0.000 0.500 0.000
4 Sn 0.000 0.000 0.000
5 O 0.000 0.000 0.500